1.
# BaNiW2

A relaxed BaNiW2 crystal (GGA-PBE, the Alexandria database).

Geometry as CIF:
```
data_BaNiW2
_chemical_formula_sum 'Ba1 Ni1 W2'
_cell_length_a 4.495
_cell_length_b 4.495
_cell_length_c 3.655
_cell_angle_alpha 90.00
_cell_angle_beta 90.00
_cell_angle_gamma 90.00
_symmetry_space_group_name_H-M 'P 4/m m m'
_symmetry_Int_Tables_number 123
_symmetry_space_group_name_Hall '-P 4 2'
loop_
_atom_site_label
_atom_site_type_symbol
_atom_site_fract_x
_atom_site_fract_y
_atom_site_fract_z
_atom_site_occupancy
Ba1 Ba 0.000 0.000 0.000 1
Ni1 Ni 0.500 0.500 0.000 1
W1 W 0.000 0.500 0.500 1
```

## Properties
**Total magnetic moment**: 0.00 μB/atom
**V**: 18.5 Å³/atom
**ΔE to the lowest computed polymorph**: 1196 meV per atom
**Uncorrected energy**: -6.55 eV per atom

2.
# Ba4NiW

A relaxed Ba4NiW crystal (GGA-PBE, the Alexandria database).

Geometry as CIF:
```
data_Ba4NiW
_chemical_formula_sum 'Ba16 Ni4 W4'
_cell_length_a 9.796
_cell_length_b 9.796
_cell_length_c 9.796
_cell_angle_alpha 90.00
_cell_angle_beta 90.00
_cell_angle_gamma 90.00
_symmetry_space_group_name_H-M 'F -4 3 m'
_symmetry_Int_Tables_number 216
_symmetry_space_group_name_Hall 'F -4 2 3'
loop_
_atom_site_label
_atom_site_type_symbol
_atom_site_fract_x
_atom_site_fract_y
_atom_site_fract_z
_atom_site_occupancy
Ba1 Ba 0.125 0.125 0.125 1
Ni1 Ni 0.250 0.250 0.750 1
W1 W 0.000 0.000 0.500 1
```

## Properties
**Total magnetic moment**: 0.76 μB/atom
**V**: 39.2 Å³/atom
**Uncorrected energy**: -2.81 eV per atom

3.
# BaNiW2

A relaxed BaNiW2 crystal (GGA-PBE, the Alexandria database).

Geometry as CIF:
```
data_BaNiW2
_chemical_formula_sum 'Ba2 Ni2 W4'
_cell_length_a 3.116
_cell_length_b 5.848
_cell_length_c 9.698
_cell_angle_alpha 90.00
_cell_angle_beta 90.00
_cell_angle_gamma 90.00
_symmetry_space_group_name_H-M 'I m m 2'
_symmetry_Int_Tables_number 44
loop_
_symmetry_equiv_pos_as_xyz
'x,y,z'
'-x,-y,z'
'-x,y,z'
'x,-y,z'
'x+1/2,y+1/2,z+1/2'
'-x+1/2,-y+1/2,z+1/2'
'-x+1/2,y+1/2,z+1/2'
'x+1/2,-y+1/2,z+1/2'
loop_
_atom_site_label
_atom_site_type_symbol
_atom_site_fract_x
_atom_site_fract_y
_atom_site_fract_z
_atom_site_occupancy
Ba1 Ba 0.000 0.000 0.000 1
Ni1 Ni 0.000 0.500 0.786 1
W1 W 0.000 0.000 0.493 1
W2 W 0.000 0.500 0.192 1
```

## Properties
**Total magnetic moment**: 0.00 μB/atom
**V**: 22.1 Å³/atom
**ΔE to the lowest computed polymorph**: 585 meV per atom
**Uncorrected energy**: -7.16 eV per atom

4.
# BaNiW2

A relaxed BaNiW2 crystal (GGA-PBE, the Alexandria database).

Geometry as CIF:
```
data_BaNiW2
_chemical_formula_sum 'Ba2 Ni2 W4'
_cell_length_a 9.141
_cell_length_b 3.177
_cell_length_c 6.602
_cell_angle_alpha 90.00
_cell_angle_beta 101.84
_cell_angle_gamma 90.00
_symmetry_space_group_name_H-M 'C 1 m 1'
_symmetry_Int_Tables_number 8
loop_
_symmetry_equiv_pos_as_xyz
'x,y,z'
'x,-y,z'
'x+1/2,y+1/2,z'
'x+1/2,-y+1/2,z'
loop_
_atom_site_label
_atom_site_type_symbol
_atom_site_fract_x
_atom_site_fract_y
_atom_site_fract_z
_atom_site_occupancy
Ba1 Ba 0.000 0.000 0.000 1
Ni1 Ni 0.265 0.500 0.327 1
W1 W 0.198 0.000 0.583 1
W2 W 0.480 0.000 0.496 1
```

## Properties
**Total magnetic moment**: 0.00 μB/atom
**V**: 23.5 Å³/atom
**ΔE to the lowest computed polymorph**: 171 meV per atom
**Uncorrected energy**: -7.58 eV per atom

5.
# BaNiW2

A relaxed BaNiW2 crystal (GGA-PBE, the Alexandria database).

Geometry as CIF:
```
data_BaNiW2
_chemical_formula_sum 'Ba1 Ni1 W2'
_cell_length_a 3.254
_cell_length_b 4.441
_cell_length_c 6.740
_cell_angle_alpha 90.00
_cell_angle_beta 102.55
_cell_angle_gamma 90.00
_symmetry_space_group_name_H-M 'P 1 2/m 1'
_symmetry_Int_Tables_number 10
loop_
_symmetry_equiv_pos_as_xyz
'x,y,z'
'-x,-y,-z'
'-x,y,-z'
'x,-y,z'
loop_
_atom_site_label
_atom_site_type_symbol
_atom_site_fract_x
_atom_site_fract_y
_atom_site_fract_z
_atom_site_occupancy
Ba1 Ba 0.000 0.000 0.000 1
Ni1 Ni 0.500 0.000 0.500 1
W1 W 0.307 0.500 0.637 1
```

## Properties
**Total magnetic moment**: 0.00 μB/atom
**V**: 23.8 Å³/atom
**ΔE to the lowest computed polymorph**: 378 meV per atom
**Uncorrected energy**: -7.37 eV per atom

6.
# Ba2NiW

A relaxed Ba2NiW crystal (GGA-PBE, the Alexandria database).

Geometry as CIF:
```
data_Ba2NiW
_chemical_formula_sum 'Ba4 Ni2 W2'
_cell_length_a 4.724
_cell_length_b 4.962
_cell_length_c 9.880
_cell_angle_alpha 90.00
_cell_angle_beta 90.00
_cell_angle_gamma 90.00
_symmetry_space_group_name_H-M 'C m m 2'
_symmetry_Int_Tables_number 35
loop_
_symmetry_equiv_pos_as_xyz
'x,y,z'
'-x,-y,z'
'-x,y,z'
'x,-y,z'
'x+1/2,y+1/2,z'
'-x+1/2,-y+1/2,z'
'-x+1/2,y+1/2,z'
'x+1/2,-y+1/2,z'
loop_
_atom_site_label
_atom_site_type_symbol
_atom_site_fract_x
_atom_site_fract_y
_atom_site_fract_z
_atom_site_occupancy
Ba1 Ba 0.000 0.000 0.000 1
Ba2 Ba 0.000 0.500 0.416 1
Ni1 Ni 0.000 0.500 0.756 1
W1 W 0.000 0.000 0.676 1
```

## Properties
**Total magnetic moment**: 0.08 μB/atom
**V**: 29.0 Å³/atom
**ΔE to the lowest computed polymorph**: 0 meV per atom
**Uncorrected energy**: -4.94 eV per atom

7.
# BaNiW2

A relaxed BaNiW2 crystal (GGA-PBE, the Alexandria database).

Geometry as CIF:
```
data_BaNiW2
_chemical_formula_sum 'Ba1 Ni1 W2'
_cell_length_a 3.072
_cell_length_b 4.627
_cell_length_c 5.592
_cell_angle_alpha 90.00
_cell_angle_beta 90.00
_cell_angle_gamma 90.00
_symmetry_space_group_name_H-M 'P m m m'
_symmetry_Int_Tables_number 47
loop_
_symmetry_equiv_pos_as_xyz
'x,y,z'
'-x,-y,-z'
'-x,-y,z'
'x,y,-z'
'x,-y,-z'
'-x,y,z'
'-x,y,-z'
'x,-y,z'
loop_
_atom_site_label
_atom_site_type_symbol
_atom_site_fract_x
_atom_site_fract_y
_atom_site_fract_z
_atom_site_occupancy
Ba1 Ba 0.000 0.000 0.000 1
Ni1 Ni 0.500 0.500 0.000 1
W1 W 0.000 0.500 0.500 1
W2 W 0.500 0.000 0.500 1
```

## Properties
**Total magnetic moment**: 0.00 μB/atom
**V**: 19.9 Å³/atom
**ΔE to the lowest computed polymorph**: 605 meV per atom
**Uncorrected energy**: -7.14 eV per atom

8.
# BaNiW2

A relaxed BaNiW2 crystal (GGA-PBE, the Alexandria database).

Geometry as CIF:
```
data_BaNiW2
_chemical_formula_sum 'Ba3 Ni3 W6'
_cell_length_a 2.9360
_cell_length_b 2.9360
_cell_length_c 31.1368
_cell_angle_alpha 90.00
_cell_angle_beta 90.00
_cell_angle_gamma 120.00
_symmetry_space_group_name_H-M 'R -3 m'
_symmetry_Int_Tables_number 166
_symmetry_space_group_name_Hall '-R 3 2"'
loop_
_atom_site_label
_atom_site_type_symbol
_atom_site_fract_x
_atom_site_fract_y
_atom_site_fract_z
_atom_site_occupancy
Ba1 Ba 0.0000 0.0000 0.0000 1
Ni1 Ni 0.0000 0.0000 0.5000 1
W1 W 0.0000 0.0000 0.2315 1
```

## Properties
**Total magnetic moment**: 0.00 μB/atom
**V**: 19.4 Å³/atom
**ΔE to the lowest computed polymorph**: 551 meV per atom
**Uncorrected energy**: -7.20 eV per atom

9.
# Ba2NiW

A relaxed Ba2NiW crystal (GGA-PBE, the Alexandria database).

Geometry as CIF:
```
data_Ba2NiW
_chemical_formula_sum 'Ba4 Ni2 W2'
_cell_length_a 4.726
_cell_length_b 4.726
_cell_length_c 10.469
_cell_angle_alpha 90.00
_cell_angle_beta 90.00
_cell_angle_gamma 90.00
_symmetry_space_group_name_H-M 'I -4 m 2'
_symmetry_Int_Tables_number 119
_symmetry_space_group_name_Hall 'I -4 -2'
loop_
_atom_site_label
_atom_site_type_symbol
_atom_site_fract_x
_atom_site_fract_y
_atom_site_fract_z
_atom_site_occupancy
Ba1 Ba 0.000 0.000 0.000 1
Ba2 Ba 0.000 0.500 0.250 1
Ni1 Ni 0.000 0.500 0.750 1
W1 W 0.000 0.000 0.500 1
```

## Properties
**Total magnetic moment**: 0.98 μB/atom
**V**: 29.2 Å³/atom
**ΔE to the lowest computed polymorph**: 652 meV per atom
**Uncorrected energy**: -4.29 eV per atom

10.
# BaNiW2

A relaxed BaNiW2 crystal (GGA-PBE, the Alexandria database).

Geometry as CIF:
```
data_BaNiW2
_chemical_formula_sum 'Ba1 Ni1 W2'
_cell_length_a 3.853
_cell_length_b 3.853
_cell_length_c 5.526
_cell_angle_alpha 90.00
_cell_angle_beta 90.00
_cell_angle_gamma 90.00
_symmetry_space_group_name_H-M 'P 4/m m m'
_symmetry_Int_Tables_number 123
_symmetry_space_group_name_Hall '-P 4 2'
loop_
_atom_site_label
_atom_site_type_symbol
_atom_site_fract_x
_atom_site_fract_y
_atom_site_fract_z
_atom_site_occupancy
Ba1 Ba 0.000 0.000 0.000 1
Ni1 Ni 0.500 0.500 0.000 1
W1 W 0.000 0.500 0.500 1
```

## Properties
**Total magnetic moment**: 0.15 μB/atom
**V**: 20.5 Å³/atom
**ΔE to the lowest computed polymorph**: 754 meV per atom
**Uncorrected energy**: -6.99 eV per atom

11.
# BaNiW2

A relaxed BaNiW2 crystal (GGA-PBE, the Alexandria database).

Geometry as CIF:
```
data_BaNiW2
_chemical_formula_sum 'Ba1 Ni1 W2'
_cell_length_a 3.295
_cell_length_b 3.295
_cell_length_c 7.675
_cell_angle_alpha 90.00
_cell_angle_beta 90.00
_cell_angle_gamma 90.00
_symmetry_space_group_name_H-M 'P 4/m m m'
_symmetry_Int_Tables_number 123
_symmetry_space_group_name_Hall '-P 4 2'
loop_
_atom_site_label
_atom_site_type_symbol
_atom_site_fract_x
_atom_site_fract_y
_atom_site_fract_z
_atom_site_occupancy
Ba1 Ba 0.000 0.000 0.000 1
Ni1 Ni 0.000 0.000 0.500 1
W1 W 0.500 0.500 0.347 1
```

## Properties
**Total magnetic moment**: 0.00 μB/atom
**V**: 20.8 Å³/atom
**ΔE to the lowest computed polymorph**: 264 meV per atom
**Uncorrected energy**: -7.48 eV per atom

12.
# BaNiW2

A relaxed BaNiW2 crystal (GGA-PBE, the Alexandria database).

Geometry as CIF:
```
data_BaNiW2
_chemical_formula_sum 'Ba2 Ni2 W4'
_cell_length_a 5.361
_cell_length_b 10.651
_cell_length_c 2.808
_cell_angle_alpha 90.00
_cell_angle_beta 90.00
_cell_angle_gamma 90.00
_symmetry_space_group_name_H-M 'C m m m'
_symmetry_Int_Tables_number 65
_symmetry_space_group_name_Hall '-C 2 2'
loop_
_atom_site_label
_atom_site_type_symbol
_atom_site_fract_x
_atom_site_fract_y
_atom_site_fract_z
_atom_site_occupancy
Ba1 Ba 0.000 0.000 0.000 1
Ni1 Ni 0.000 0.500 0.000 1
W1 W 0.250 0.250 0.500 1
```

## Properties
**Total magnetic moment**: 0.00 μB/atom
**V**: 20.0 Å³/atom
**ΔE to the lowest computed polymorph**: 822 meV per atom
**Uncorrected energy**: -6.92 eV per atom